## RbTlHO (GGA-PBE)

Data for an optimized crystal structure of RbTlHO.

Volume = 25.39 A^3/atom
Electronic total energy = -14.76 eV/cell
Theoretical density = 5.02 g cm⁻³

Structure (extended XYZ):
```
4
Lattice="-2.109 -0.205 -3.461 2.888 -2.663 -1.563 -1.521 -4.419 4.719" Properties=species:S:1:pos:R:3 pbc="T T T"
Rb -0.538 -4.564 1.661
H 0.005 -5.478 -1.392
Tl 2.044 -3.421 -1.248
O -0.110 -6.108 -0.654
```

## RbU2HO5 (GGA-PBE)

Data for an optimized crystal structure of RbU2HO5.

Volume = 17.65 A^3/atom
Electronic total energy = -74.62 eV/cell
Theoretical density = 6.72 g cm⁻³

Structure (extended XYZ):
```
9
Lattice="4.261 0.000 0.000 0.000 4.261 0.000 0.000 0.000 8.749" Properties=species:S:1:pos:R:3 pbc="T T T"
U 0.000 0.000 6.558
U 0.000 0.000 2.191
Rb 2.130 2.130 4.374
O 2.130 0.000 2.210
O 0.000 2.130 6.539
O 0.000 0.000 4.374
O 0.000 2.130 2.210
O 2.130 0.000 6.539
H 0.000 0.000 0.000
```

## Rb2ZnHO2 (GGA-PBE)

Data for an optimized crystal structure of Rb2ZnHO2.

Volume = 22.12 A^3/atom
Electronic total energy = -41.95 eV/cell
Theoretical density = 3.37 g cm⁻³

Structure (extended XYZ):
```
12
Lattice="5.535 0.000 0.000 0.000 9.584 0.000 -2.768 -4.792 5.002" Properties=species:S:1:pos:R:3 pbc="T T T"
Rb 2.768 2.863 3.596
Rb 0.000 -2.863 3.596
Rb 0.000 1.929 1.407
Rb 2.768 7.655 1.407
O 2.768 3.672 0.873
O 0.000 1.120 4.130
O 2.768 -1.120 4.130
O 0.000 5.912 0.873
Zn 4.152 4.792 0.000
Zn 1.384 4.792 0.000
H 1.384 0.000 0.000
H 4.152 0.000 0.000
```